No. 1
Density functional theory data (GGA-PBE) for crystalline MgTaZnRh at its relaxed geometry. Values from VASP.

Structure (Quantum ESPRESSO input):
```
&SYSTEM
  ibrav = 0, nat = 4, ntyp = 4
/
ATOMIC_SPECIES
Mg 24.30 Mg.upf
Ta 180.95 Ta.upf
Zn 65.41 Zn.upf
Rh 102.91 Rh.upf
CELL_PARAMETERS angstrom
0.0000 3.1651 3.1651
3.1651 0.0000 3.1651
3.1651 3.1651 0.0000
ATOMIC_POSITIONS crystal
Mg 0.0000 0.0000 0.0000
Ta 0.5000 0.5000 0.5000
Zn 0.7500 0.7500 0.7500
Rh 0.2500 0.2500 0.2500
```

Results
Its formation energy is -25.0 kJ/mol of atoms. As for the total energy: -5.78 eV per atom. The calculation puts the total magnetization at 0.00 μB per formula unit. The space-group type is F-43m (216). The calculated density is 9.8 g cm⁻³.

No. 2
Density functional theory data (GGA-PBE) for crystalline Pm12Y6In at its relaxed geometry. Values from VASP.

Structure (Quantum ESPRESSO input):
```
&SYSTEM
  ibrav = 0, nat = 19, ntyp = 3
/
ATOMIC_SPECIES
Pm 145.00 Pm.upf
Y 88.91 Y.upf
In 114.82 In.upf
CELL_PARAMETERS angstrom
6.0372 3.4856 5.0745
-6.0372 3.4856 5.0745
0.0000 -6.9711 5.0745
ATOMIC_POSITIONS crystal
Pm 0.0375 0.9318 0.2832
Pm 0.0682 0.7168 0.9625
Pm 0.1385 0.4832 0.3166
Pm 0.2832 0.0375 0.9318
Pm 0.3166 0.1385 0.4832
Pm 0.4832 0.3166 0.1385
Pm 0.5168 0.6834 0.8615
Pm 0.6834 0.8615 0.5168
Pm 0.7168 0.9625 0.0682
Pm 0.8615 0.5168 0.6834
Pm 0.9318 0.2832 0.0375
Pm 0.9625 0.0682 0.7168
Y 0.2113 0.7569 0.5989
Y 0.2431 0.4011 0.7887
Y 0.4011 0.7887 0.2431
Y 0.5989 0.2113 0.7569
Y 0.7569 0.5989 0.2113
Y 0.7887 0.2431 0.4011
In 0.5000 0.5000 0.5000
```

Results
Its formation energy is 6.4 kJ/mol of atoms. As for the total energy: -5.12 eV per atom. The calculation puts the total magnetization at 0.00 μB per formula unit. The space-group type is R-3 (148). The calculated density is 6.2 g cm⁻³.

No. 3
Density functional theory data (GGA-PBE) for crystalline LiCu2Rh4O8 at its relaxed geometry. Values from VASP.

Structure (Quantum ESPRESSO input):
```
&SYSTEM
  ibrav = 0, nat = 15, ntyp = 4
/
ATOMIC_SPECIES
Li 6.94 Li.upf
Cu 63.55 Cu.upf
Rh 102.91 Rh.upf
O 16.00 O.upf
CELL_PARAMETERS angstrom
-3.1205 3.1413 4.3976
3.1205 -3.1413 4.3976
3.1205 3.1413 -4.3976
ATOMIC_POSITIONS crystal
Li 0.0000 0.0000 0.0000
Cu 0.2689 0.2689 0.0000
Cu 0.9106 0.4106 0.5000
Rh 0.0347 0.7835 0.2512
Rh 0.5323 0.7835 0.7488
Rh 0.5398 0.2882 0.7483
Rh 0.5398 0.7915 0.2517
O 0.3032 0.0160 0.7128
O 0.3032 0.5904 0.2872
O 0.3093 0.0217 0.2876
O 0.3271 0.5488 0.7784
O 0.7341 0.0217 0.7124
O 0.7704 0.5488 0.2216
O 0.7767 0.5565 0.7797
O 0.7767 0.9970 0.2203
```

Results
For the relative energy among the computed polymorphs, the calculation gives 14 kJ/mol of formula units. As for the total energy: -5.98 eV per atom. The calculation puts the total magnetization at 0.00 μB per formula unit. The space-group type is Imm2 (44). The calculated density is 6.5 g cm⁻³.

No. 4
Density functional theory data (GGA-PBE) for crystalline Pu3Rh2Au at its relaxed geometry. Values from VASP.

Structure (Quantum ESPRESSO input):
```
&SYSTEM
  ibrav = 0, nat = 6, ntyp = 3
/
ATOMIC_SPECIES
Pu 244.00 Pu.upf
Rh 102.91 Rh.upf
Au 196.97 Au.upf
CELL_PARAMETERS angstrom
3.2716 0.0000 0.0000
0.0000 3.2716 0.0000
0.0000 0.0000 11.5784
ATOMIC_POSITIONS crystal
Pu 0.0000 0.0000 0.0000
Pu 0.0000 0.0000 0.3105
Pu 0.0000 0.0000 0.6895
Rh 0.5000 0.5000 0.1399
Rh 0.5000 0.5000 0.8601
Au 0.5000 0.5000 0.5000
```

Results
Its formation energy is -14.2 kJ/mol of atoms. As for the total energy: -10.31 eV per atom. The calculation puts the total magnetization at 11.28 μB per formula unit. The space-group type is P4/mmm (123). The calculated density is 15.2 g cm⁻³.

No. 5
Density functional theory data (GGA-PBE) for crystalline Pr2TlGe at its relaxed geometry. Values from VASP.

Structure (Quantum ESPRESSO input):
```
&SYSTEM
  ibrav = 0, nat = 4, ntyp = 3
/
ATOMIC_SPECIES
Pr 140.91 Pr.upf
Tl 204.38 Tl.upf
Ge 72.64 Ge.upf
CELL_PARAMETERS angstrom
3.9727 0.0000 0.0000
0.0000 3.9727 0.0000
0.0000 0.0000 7.0271
ATOMIC_POSITIONS crystal
Pr 0.0000 0.0000 0.2227
Pr 0.0000 0.0000 0.7773
Tl 0.5000 0.5000 0.5000
Ge 0.5000 0.5000 0.0000
```

Results
Its formation energy is -49.4 kJ/mol of atoms. As for the total energy: -4.65 eV per atom. The calculation puts the total magnetization at 0.00 μB per formula unit. The space-group type is P4/mmm (123). The calculated density is 8.4 g cm⁻³.

No. 6
Density functional theory data (GGA-PBE) for crystalline DySi2Tc at its relaxed geometry. Values from VASP.

Structure (Quantum ESPRESSO input):
```
&SYSTEM
  ibrav = 0, nat = 16, ntyp = 3
/
ATOMIC_SPECIES
Dy 162.50 Dy.upf
Si 28.09 Si.upf
Tc 98.00 Tc.upf
CELL_PARAMETERS angstrom
7.1995 0.0000 0.0000
0.0000 3.9187 0.0000
0.0000 0.0000 10.0376
ATOMIC_POSITIONS crystal
Dy 0.1449 0.2500 0.1277
Dy 0.3551 0.7500 0.6277
Dy 0.6449 0.2500 0.3723
Dy 0.8551 0.7500 0.8723
Si 0.1538 0.2500 0.8136
Si 0.2118 0.2500 0.4288
Si 0.2882 0.7500 0.9288
Si 0.3462 0.7500 0.3136
Si 0.6538 0.2500 0.6864
Si 0.7118 0.2500 0.0712
Si 0.7882 0.7500 0.5712
Si 0.8462 0.7500 0.1864
Tc 0.0141 0.7500 0.3931
Tc 0.4859 0.2500 0.8931
Tc 0.5141 0.7500 0.1069
Tc 0.9859 0.2500 0.6069
```

Results
For the relative energy among the computed polymorphs, the calculation gives 0 kJ/mol of formula units. As for the total energy: -7.15 eV per atom. The calculation puts the total magnetization at 0.00 μB per formula unit. The space-group type is Pnma (62). The calculated density is 7.4 g cm⁻³.

No. 7
Density functional theory data (GGA-PBE) for crystalline Er2TlPd at its relaxed geometry. Values from VASP.

Structure (Quantum ESPRESSO input):
```
&SYSTEM
  ibrav = 0, nat = 4, ntyp = 3
/
ATOMIC_SPECIES
Er 167.26 Er.upf
Tl 204.38 Tl.upf
Pd 106.42 Pd.upf
CELL_PARAMETERS angstrom
1.9591 1.1311 8.1613
-1.9591 1.1311 8.1613
0.0000 -2.2622 8.1613
ATOMIC_POSITIONS crystal
Er 0.0000 0.0000 0.0000
Er 0.1984 0.1984 0.1984
Tl 0.4324 0.4324 0.4324
Pd 0.5981 0.5981 0.5981
```

Results
Its formation energy is -46.7 kJ/mol of atoms. As for the total energy: -4.66 eV per atom. The calculation puts the total magnetization at 0.00 μB per formula unit. The space-group type is R3m (160). The calculated density is 9.9 g cm⁻³.

No. 8
Density functional theory data (GGA-PBE) for crystalline Ce2CrGeN5 at its relaxed geometry. Values from VASP.

Structure (Quantum ESPRESSO input):
```
&SYSTEM
  ibrav = 0, nat = 18, ntyp = 4
/
ATOMIC_SPECIES
Ce 140.12 Ce.upf
Cr 52.00 Cr.upf
Ge 72.64 Ge.upf
N 14.01 N.upf
CELL_PARAMETERS angstrom
1.6272 -6.8254 0.0000
1.6272 6.8254 0.0000
0.0000 0.0000 9.8387
ATOMIC_POSITIONS crystal
Ce 0.1171 0.8829 0.5000
Ce 0.1397 0.8603 0.1185
Ce 0.8603 0.1397 0.6185
Ce 0.8829 0.1171 0.0000
Cr 0.2186 0.7814 0.8348
Cr 0.7814 0.2186 0.3348
Ge 0.4452 0.5548 0.2711
Ge 0.5548 0.4452 0.7711
N 0.0556 0.9444 0.8687
N 0.2847 0.7153 0.4678
N 0.3103 0.6897 0.1982
N 0.3566 0.6434 0.8230
N 0.4958 0.5042 0.6015
N 0.5042 0.4958 0.1015
N 0.6434 0.3566 0.3230
N 0.6897 0.3103 0.6982
N 0.7153 0.2847 0.9678
N 0.9444 0.0556 0.3687
```

Results
As for the total energy: -8.33 eV per atom. The calculation puts the total magnetization at 2.62 μB per formula unit. The space-group type is Cmc2_1 (36). The calculated density is 7.2 g cm⁻³.